No. 1
Entry from Alexandria: DyPu4Sc after structural relaxation (GGA-PBE).

Values from the calculation:
magnetic moment = 22.366 μB per formula unit
ΔH_f (0 K) = 0.264 eV per atom
space group = F-43m (216)

The structure in CIF format:
```
data_DyPu4Sc
_chemical_formula_sum 'Dy1 Pu4 Sc1'
_space_group_name_H-M_alt 'P 1'
_space_group_IT_number 1
_cell_length_a 6.082
_cell_length_b 6.082
_cell_length_c 6.082
_cell_angle_alpha 60.00
_cell_angle_beta 60.00
_cell_angle_gamma 60.00
loop_
_space_group_symop_operation_xyz
'x,y,z'
loop_
_atom_site_label
_atom_site_type_symbol
_atom_site_fract_x
_atom_site_fract_y
_atom_site_fract_z
Dy1 Dy 0.000 0.000 0.000
Pu1 Pu 0.375 0.375 0.375
Pu2 Pu 0.375 0.375 0.874
Pu3 Pu 0.375 0.874 0.375
Pu4 Pu 0.874 0.375 0.375
Sc1 Sc 0.750 0.750 0.750
```

---

No. 2
Entry from Alexandria: IrPtRh after structural relaxation (GGA-PBE).

Values from the calculation:
magnetic moment = 0.000 μB per formula unit
ΔH_f (0 K) = 0.080 eV per atom
space group = R-3m (166)

The structure in CIF format:
```
data_IrPtRh
_chemical_formula_sum 'Ir2 Pt2 Rh2'
_space_group_name_H-M_alt 'P 1'
_space_group_IT_number 1
_cell_length_a 14.310
_cell_length_b 14.310
_cell_length_c 14.310
_cell_angle_alpha 10.93
_cell_angle_beta 10.93
_cell_angle_gamma 10.93
loop_
_space_group_symop_operation_xyz
'x,y,z'
loop_
_atom_site_label
_atom_site_type_symbol
_atom_site_fract_x
_atom_site_fract_y
_atom_site_fract_z
Ir1 Ir 0.140 0.140 0.140
Ir2 Ir 0.860 0.860 0.860
Pt1 Pt 0.305 0.305 0.305
Pt2 Pt 0.695 0.695 0.695
Rh1 Rh 0.245 0.245 0.245
Rh2 Rh 0.755 0.755 0.755
```

---

Volume values, unit Å³/cell, following the record order: 159 91.